[1]
The following is a PBE calculation of a geometry-optimized ErLuZnCo structure, from Alexandria.

Output
Crystal system   cubic
Energy relative to the elements   -0.273 eV/atom

abc: 4.7906 4.7906 4.7906
angles: 60.00 60.00 60.00
Element x y z (fractional)
Zn 0.0000 0.0000 0.0000
Lu 0.2500 0.2500 0.2500
Co 0.5000 0.5000 0.5000
Er 0.7500 0.7500 0.7500

***

[2]
The following is a PBE calculation of a geometry-optimized PrTm5As6 structure, from Alexandria.

Output
Crystal system   monoclinic
Energy relative to the elements   -1.490 eV/atom

abc: 7.1136 7.1136 7.1127
angles: 99.60 99.60 120.00
Element x y z (fractional)
Pr 0.0000 0.0000 0.0000
As 0.4268 0.0853 0.2555
As 0.9147 0.5732 0.7445
As 0.2570 0.2570 0.7459
As 0.7430 0.7430 0.2541
As 0.0853 0.4268 0.2555
As 0.5732 0.9147 0.7445
Tm 0.8355 0.1645 0.5000
Tm 0.6673 0.3327 0.0000
Tm 0.5000 0.5000 0.5000
Tm 0.3327 0.6673 0.0000
Tm 0.1645 0.8355 0.5000

***

[3]
The following is a PBE calculation of a geometry-optimized EuGd2Tl structure, from Alexandria.

Output
Crystal system   cubic
Energy above the most stable polymorph in this dataset   77.1 meV/atom
Energy relative to the elements   -0.084 eV/atom

abc: 5.5459 5.5459 5.5459
angles: 60.00 60.00 60.00
Last column: magnetic moment on the atom in μB.
Element x y z (fractional)
Eu 0.0000 0.0000 0.0000  7.13
Tl 0.5000 0.5000 0.5000  -0.04
Gd 0.2500 0.2500 0.2500  7.46
Gd 0.7500 0.7500 0.7500  7.46

***

[4]
The following is a PBE calculation of a geometry-optimized Li2TeIr structure, from Alexandria.

Output
Crystal system   tetragonal
Raw formation energy   -29 kJ/mol of atoms

abc: 5.0521 5.0521 5.0521
angles: 134.68 134.57 66.11
Element x y z (fractional)
Ir 0.2500 0.7500 0.5000
Li 0.0003 0.0003 0.0000
Li 0.4997 0.4997 0.0000
Te 0.7500 0.2500 0.5000

***

[5]
The following is a PBE calculation of a geometry-optimized LuTaTc2 structure, from Alexandria.

Output
Crystal system   tetragonal
Energy above the most stable polymorph in this dataset   0.0 meV/atom
Energy relative to the elements   -0.246 eV/atom

abc: 3.2474 3.2474 6.6679
angles: 90.00 90.00 90.00
Element x y z (fractional)
Lu 0.5000 0.5000 0.5000
Tc 0.0000 0.0000 0.7743
Tc 0.0000 0.0000 0.2257
Ta 0.5000 0.5000 0.0000

***

[6]
The following is a PBE calculation of a geometry-optimized CsSmOF2 structure, from Alexandria.

Output
Crystal system   tetragonal
Raw formation energy   -310 kJ/mol of atoms

abc: 4.7176 4.7176 4.5138
angles: 90.00 90.00 90.00
Element x y z (fractional)
Cs 0.5000 0.5000 0.5002
Sm 0.0000 0.0000 0.0000
O 0.0000 0.0000 0.5000
F 0.0000 0.5000 0.9999
F 0.5000 0.0000 0.9999

***

| no. | calculated volume (Å³ per cell) | raw total energy (eV/atom) | total magnetic moment (μB per cell) |
| --- | --- | --- | --- |
| 1 | 77.7 | -4.639 | 0.0 |
| 2 | 293.9 | -6.077 | 0.0 |
| 3 | 120.6 | -10.285 | 23.4 |
| 4 | 64.3 | -4.258 | 0.0 |
| 5 | 70.3 | -9.523 | 0.0 |
| 6 | 100.5 | -6.063 | 0.0 |